Record 1
Entry from Alexandria via LeMat-Bulk: CsV3O8 at its PBEsol-relaxed geometry (SCAN).

- raw formation energy (meV per atom) = -2551
- total magnetization (μB/cell) = 0.00
- density of states at the Fermi level (states/eV/cell) = 0.00

Cell: 5.0106 8.5075 8.2346 Å, 90.00 96.98 90.00°
Space group P2_1/m (No. 11)
Symmetry-distinct sites (fractional):
Cs: 0.0706 0.2500 0.4428 [2 per cell]
V: 0.0790 0.2500 0.9343 [2 per cell]
V: 0.4368 0.5567 0.1728 [4 per cell]
O: 0.1112 0.6030 0.2127 [4 per cell]
O: 0.1106 0.7500 0.9226 [2 per cell]
O: 0.3207 0.0886 0.9971 [4 per cell]
O: 0.4229 0.2500 0.7616 [2 per cell]
O: 0.4363 0.5571 0.6821 [4 per cell]


Record 2
Entry from Alexandria via LeMat-Bulk: Cs2V4O9 at its PBEsol-relaxed geometry (SCAN).

- raw formation energy (meV per atom) = -2618
- total magnetization (μB/cell) = 8.00

Cell: 5.6876 5.6876 15.1057 Å, 90.00 90.00 90.00°
Space group P4_2/m (No. 84)
Symmetry-distinct sites (fractional):
Cs: 0.2320 0.2479 0.0000 [4 per cell]
V: 0.2122 0.3516 0.2979 [8 per cell]
O: 0.1201 0.6817 0.2852 [8 per cell]
O: 0.2690 0.2744 0.4003 [8 per cell]
O: 0.5000 0.5000 0.2500 [2 per cell]


Record 3
Entry from Alexandria via LeMat-Bulk: CsVWO6 at its PBEsol-relaxed geometry (SCAN).

- raw formation energy (meV per atom) = -2411
- total magnetization (μB/cell) = 0.00
- density of states at the Fermi level (states/eV/cell) = 0.00

Cell: 7.0061 7.2620 10.1100 Å, 90.00 90.00 90.00°
Space group Imma (No. 74)
Symmetry-distinct sites (fractional):
Cs: 0.0000 0.2500 0.1136 [4 per cell]
V: 0.2500 0.2500 0.7500 [4 per cell]
W: 0.0000 0.0000 0.5000 [4 per cell]
O: 0.0000 0.2500 0.4340 [4 per cell]
O: 0.0000 0.2500 0.8011 [4 per cell]
O: 0.1901 0.0703 0.6242 [16 per cell]


Record 4
Entry from Alexandria via LeMat-Bulk: Cs2WO4 at its PBEsol-relaxed geometry (SCAN).

- raw formation energy (meV per atom) = -2350
- total magnetization (μB/cell) = 0.57
- density of states at the Fermi level (states/eV/cell) = 0.00

Cell: 8.4955 6.5646 11.5301 Å, 90.00 90.00 90.00°
Space group Pnma (No. 62)
Symmetry-distinct sites (fractional):
Cs: 0.9995 0.2500 0.2080 [4 per cell]
Cs: 0.1699 0.2500 0.5769 [4 per cell]
W: 0.2202 0.2500 0.9189 [4 per cell]
O: 0.0099 0.2500 0.9309 [4 per cell]
O: 0.1930 0.7500 0.5609 [4 per cell]
O: 0.2167 0.5262 0.3427 [8 per cell]


Among the records above, which one has the lowest raw formation energy?
Cs2V4O9


total magnetization of number 4 (Cs2WO4)?
0.57 μB/cell


Number 3 is which compound?
CsVWO6